# 1
This record from Alexandria via LeMat-Bulk describes crystalline MgSiSb at its relaxed geometry. The functional is PBE.

Calculated values
Total moment (μB/f.u.): 0.0
Space-group type: P-1 (2)
Energy above the most stable polymorph in this dataset (eV per formula unit): 0.03
E_form (uncorrected) (eV per formula unit): 0.02

Lattice parameters (Å, degrees): 3.5868 4.8835 9.0941 89.58 89.87 69.14
Fractional positions:
Sb  0.6592  0.6855  0.6715
Sb  0.3408  0.3145  0.3285
Si  0.3300  0.3352  0.0331
Si  0.6700  0.6648  0.9669
Mg  0.0512  0.8864  0.1902
Mg  0.9488  0.1136  0.8098

---

# 2
This record from Alexandria via LeMat-Bulk describes crystalline MgSi2Sb at its relaxed geometry. The functional is PBE.

Calculated values
Total moment (μB/f.u.): 0.0
Space-group type: Immm (71)
Energy above the most stable polymorph in this dataset (eV per formula unit): 0.78
E_form (uncorrected) (eV per formula unit): 1.36

Lattice parameters (Å, degrees): 5.6816 5.6816 5.6816 141.43 135.37 60.43
Fractional positions:
Mg  0.7500  0.2500  0.5000
Si  0.4870  0.4870  0.0000
Si  0.0130  0.0130  0.0000
Sb  0.2500  0.7500  0.5000

---

# 3
This record from Alexandria via LeMat-Bulk describes crystalline MgSiSb at its relaxed geometry. The functional is PBE.

Calculated values
Total moment (μB/f.u.): 0.0
Space-group type: Pm (6)
Energy above the most stable polymorph in this dataset (eV per formula unit): 0.17
E_form (uncorrected) (eV per formula unit): 0.16

Lattice parameters (Å, degrees): 5.7924 3.7071 6.5474 90.00 102.80 90.00
Fractional positions:
Sb  0.1273  0.5000  0.1350
Sb  0.5285  0.0000  0.9105
Mg  0.6742  0.5000  0.2824
Mg  0.2684  0.0000  0.4840
Si  0.0540  0.5000  0.7120
Si  0.7832  0.0000  0.6180

---

# 4
This record from Alexandria via LeMat-Bulk describes crystalline MgSiSb at its relaxed geometry. The functional is PBE.

Calculated values
Total moment (μB/f.u.): 0.0
Space-group type: P1 (1)
Energy above the most stable polymorph in this dataset (eV per formula unit): 0.01
E_form (uncorrected) (eV per formula unit): 0.00

Lattice parameters (Å, degrees): 3.7092 3.8492 11.5817 80.56 80.72 61.23
Fractional positions:
Mg  0.5009  0.9256  0.1174
Mg  0.6201  0.0412  0.7683
Sb  0.8838  0.3344  0.9452
Sb  0.1205  0.5149  0.2891
Si  0.3419  0.7675  0.5967
Si  0.0390  0.4515  0.5182

---

# 5
This record from Alexandria via LeMat-Bulk describes crystalline Mg14SiSb at its relaxed geometry. The functional is PBE.

Calculated values
Total moment (μB/f.u.): 0.0
Space-group type: Amm2 (38)
Energy above the most stable polymorph in this dataset (eV per formula unit): 0.19
E_form (uncorrected) (eV per formula unit): 0.10

Lattice parameters (Å, degrees): 6.3042 6.3042 10.0474 90.00 90.00 115.70
Fractional positions:
Mg  0.8419  0.1581  0.0000
Mg  0.1628  0.8372  0.2466
Mg  0.3434  0.6566  0.0000
Mg  0.1485  0.3276  0.7379
Mg  0.8437  0.6587  0.5000
Mg  0.1628  0.8372  0.7534
Mg  0.1485  0.3276  0.2621
Mg  0.6724  0.8515  0.2621
Mg  0.6616  0.3384  0.7453
Mg  0.3424  0.1618  0.0000
Mg  0.6724  0.8515  0.7379
Mg  0.3413  0.1563  0.5000
Mg  0.8382  0.6576  0.0000
Mg  0.6616  0.3384  0.2547
Si  0.8231  0.1769  0.5000
Sb  0.3352  0.6648  0.5000

---

# 6
This record from Alexandria via LeMat-Bulk describes crystalline MgSiSb at its relaxed geometry. The functional is PBE.

Calculated values
Total moment (μB/f.u.): 0.0
Space-group type: P1 (1)
Energy above the most stable polymorph in this dataset (eV per formula unit): 0.11
E_form (uncorrected) (eV per formula unit): 0.10

Lattice parameters (Å, degrees): 4.1444 5.7621 6.9075 73.92 87.77 69.76
Fractional positions:
Mg  0.5860  0.6973  0.7674
Mg  0.3567  0.3060  0.5146
Sb  0.8227  0.4891  0.1949
Sb  0.9123  0.0897  0.8137
Si  0.3963  0.8300  0.3635
Si  0.8190  0.0235  0.2040

---

# 7
This record from Alexandria via LeMat-Bulk describes crystalline MgSiSb at its relaxed geometry. The functional is PBE.

Calculated values
Total moment (μB/f.u.): 0.0
Space-group type: P2_1 (4)
Energy above the most stable polymorph in this dataset (eV per formula unit): 0.16
E_form (uncorrected) (eV per formula unit): 0.15

Lattice parameters (Å, degrees): 4.6352 3.5974 8.7934 90.00 95.07 90.00
Fractional positions:
Si  0.6561  0.0430  0.0341
Si  0.3439  0.5430  0.9659
Sb  0.3214  0.5350  0.6639
Sb  0.6786  0.0350  0.3361
Mg  0.8532  0.0320  0.7567
Mg  0.1468  0.5320  0.2433

---

# 8
This record from Alexandria via LeMat-Bulk describes crystalline MgSiSb at its relaxed geometry. The functional is PBE.

Calculated values
Total moment (μB/f.u.): 0.0
Space-group type: P3m1 (156)
Energy above the most stable polymorph in this dataset (eV per formula unit): 0.36
E_form (uncorrected) (eV per formula unit): 0.36

Lattice parameters (Å, degrees): 3.9356 3.9356 5.3797 90.00 90.00 120.00
Fractional positions:
Si  0.6667  0.3333  0.6490
Sb  0.3333  0.6667  0.3806
Mg  0.0000  0.0000  0.9705

---

What is the E_form (uncorrected) in the fifth record? 0.10 eV per formula unit